Crystalline YCl at its relaxed geometry. Source: the Alexandria database, functional GGA-PBE.

POSCAR file:
```
YCl
1.0
0.0000 3.1200 3.1200
3.1200 0.0000 3.1200
3.1200 3.1200 0.0000
Y Cl
1 1
Cartesian
0.0000 0.0000 0.0000 Y
4.6799 4.6799 4.6799 Cl
```

crystal system: cubic
SG: F-43m (216)
formation energy from raw total energies: -0.91 eV per atom
N(E_F): 1.87 states/eV/f.u.
size of the total moment: 0.00 μB per atom



Crystalline NbAlAg3 at its relaxed geometry. Source: the Alexandria database, functional GGA-PBE.

POSCAR file:
```
NbAlAg3
1.0
4.7360 0.0000 0.0000
0.0000 4.7360 0.0000
0.0000 0.0000 4.7360
Nb Al Ag
1 1 3
Cartesian
0.0000 0.0000 0.0000 Nb
2.3680 2.3680 2.3680 Al
0.0000 2.3680 2.3680 Ag
2.3680 0.0000 2.3680 Ag
2.3680 2.3680 0.0000 Ag
```

crystal system: cubic
SG: Pm-3m (221)
N(E_F): 4.16 states/eV/f.u.
energy of formation from the pure elements: 0.89 eV per atom
offset from the most stable computed form: 0 meV per atom
size of the total moment: 0.51 μB per atom



Crystalline BaEuIn at its relaxed geometry. Source: the Alexandria database, functional GGA-PBE.

POSCAR file:
```
BaEuIn
1.0
5.8051 0.0000 0.0000
-2.9025 5.0273 0.0000
0.0000 0.0000 4.1344
Ba Eu In
1 1 1
Cartesian
0.0000 0.0000 0.0000 Ba
0.0000 3.3516 2.1197 Eu
2.9025 1.6758 1.9800 In
```

crystal system: trigonal
SG: P3m1 (156)
N(E_F): 3.01 states/eV/f.u.
energy of formation from the pure elements: -0.19 eV per atom
offset from the most stable computed form: 102 meV per atom
size of the total moment: 2.45 μB per atom



Crystalline Rb2NaTe4As at its relaxed geometry. Source: the Alexandria database, functional GGA-PBE.

POSCAR file:
```
Rb2NaTe4As
1.0
0.0000 8.5730 12.8379
3.1281 0.0000 12.8379
3.1281 8.5730 0.0000
Rb Na Te As
4 2 8 2
Cartesian
2.3460 6.4297 1.4369 Rb
3.9101 10.7162 7.8558 Rb
2.3460 6.4297 17.8199 Rb
3.9101 10.7162 24.2389 Rb
0.7820 2.1432 3.2095 Na
5.4741 15.0027 22.4663 Na
3.4873 4.7190 7.8456 Te
3.4873 8.1405 11.4112 Te
5.0513 9.0055 17.8302 Te
5.0513 12.4270 14.2645 Te
1.2048 4.7190 11.4112 Te
1.2048 8.1405 7.8456 Te
2.7688 9.0055 14.2645 Te
2.7688 12.4270 17.8302 Te
2.3460 6.4297 9.6284 As
3.9101 10.7162 16.0473 As
```

crystal system: orthorhombic
SG: Fddd (70)
formation energy from raw total energies: -0.53 eV per atom
N(E_F): 1.39 states/eV/f.u.
size of the total moment: 0.00 μB per atom



Crystalline LiTmThIr at its relaxed geometry. Source: the Alexandria database, functional GGA-PBE.

POSCAR file:
```
LiTmThIr
1.0
0.0000 3.5308 3.5308
3.5308 0.0000 3.5308
3.5308 3.5308 0.0000
Li Tm Th Ir
1 1 1 1
Cartesian
0.0000 0.0000 0.0000 Li
1.7654 1.7654 1.7654 Tm
5.2962 5.2962 5.2962 Th
3.5308 3.5308 3.5308 Ir
```

crystal system: cubic
SG: F-43m (216)
N(E_F): 3.37 states/eV/f.u.
energy of formation from the pure elements: -0.47 eV per atom
size of the total moment: 0.00 μB per atom



Crystalline MgAlReHg2 at its relaxed geometry. Source: the Alexandria database, functional GGA-PBE.

POSCAR file:
```
MgAlReHg2
1.0
5.2519 0.0000 0.0000
0.0000 5.2519 0.0000
0.0000 0.0000 5.1422
Mg Al Re Hg
1 1 1 2
Cartesian
0.0000 0.0000 0.0000 Mg
2.6259 2.6259 0.0000 Al
0.0000 0.0000 2.5711 Re
0.0000 2.6259 2.5711 Hg
2.6259 0.0000 2.5711 Hg
```

crystal system: tetragonal
SG: P4/mmm (123)
N(E_F): 4.02 states/eV/f.u.
energy of formation from the pure elements: 1.06 eV per atom
size of the total moment: 0.19 μB per atom



Crystalline Tb6CoSb3 at its relaxed geometry. Source: the Alexandria database, functional GGA-PBE.

POSCAR file:
```
Tb6CoSb3
1.0
5.6760 -7.1921 0.0000
5.6760 7.1921 0.0000
0.0000 0.0000 7.3819
Tb Co Sb
12 2 6
Cartesian
5.6760 7.1661 3.6909 Tb
3.9492 3.6069 3.0532 Tb
5.6760 3.6956 7.0020 Tb
3.7704 0.5218 6.7850 Tb
3.7704 -0.5218 3.0941 Tb
7.4028 3.6069 3.0532 Tb
3.9492 -3.6069 6.7441 Tb
7.5815 0.5218 6.7850 Tb
7.5815 -0.5218 3.0941 Tb
5.6760 -3.6956 3.3111 Tb
7.4028 -3.6069 6.7441 Tb
5.6760 -7.1661 0.0000 Tb
5.6760 5.1922 1.7997 Co
5.6760 -5.1922 5.4907 Co
2.0550 1.6046 1.7367 Sb
2.0550 -1.6046 5.4277 Sb
5.6760 1.5112 4.5637 Sb
5.6760 -1.5112 0.8728 Sb
9.2969 1.6046 1.7367 Sb
9.2969 -1.6046 5.4277 Sb
```

crystal system: orthorhombic
SG: Cmc2_1 (36)
formation energy from raw total energies: -0.52 eV per atom
N(E_F): 9.93 states/eV/f.u.
size of the total moment: 0.00 μB per atom



Crystalline CsNaHo2Cl8 at its relaxed geometry. Source: the Alexandria database, functional GGA-PBE.

POSCAR file:
```
CsNaHo2Cl8
1.0
6.8292 0.0000 0.0000
0.6365 7.1707 0.0000
0.0056 0.0050 8.3249
Cs Na Ho Cl
1 1 2 8
Cartesian
0.0000 0.0000 0.0000 Cs
0.0028 0.0025 4.1624 Na
3.7345 3.5869 2.1512 Ho
3.7368 3.5888 6.1737 Ho
2.3684 5.7691 5.9578 Cl
2.3685 5.7689 2.3660 Cl
2.2200 2.6197 4.1634 Cl
2.2872 2.7314 0.0019 Cl
5.1841 4.4442 8.3230 Cl
5.2513 4.5560 4.1615 Cl
5.1029 1.4068 5.9589 Cl
5.1029 1.4065 2.3670 Cl
```

crystal system: triclinic
SG: P-1 (2)
formation energy from raw total energies: -2.12 eV per atom
N(E_F): 0.00 states/eV/f.u.
size of the total moment: 0.00 μB per atom



Crystalline Nd5U2O12 at its relaxed geometry. Source: the Alexandria database, functional GGA-PBE.

POSCAR file:
```
Nd5U2O12
1.0
6.4949 -3.1459 0.0000
6.4949 3.1459 0.0000
-2.4430 0.0000 7.5677
Nd U O
5 2 12
Cartesian
0.0000 0.0000 0.0000 Nd
3.5588 0.0000 1.0195 Nd
2.3365 0.0000 5.1395 Nd
8.2101 0.0000 2.4282 Nd
6.9878 0.0000 6.5482 Nd
5.2733 1.7127 3.7839 U
5.2733 -1.7127 3.7839 U
-0.6850 0.0000 2.1999 O
3.2931 1.4691 3.1091 O
2.2032 1.5516 7.0069 O
8.3434 1.5516 0.5608 O
7.2536 1.4691 4.4586 O
4.8087 0.0000 5.1454 O
5.7380 0.0000 2.4223 O
3.2931 -1.4691 3.1091 O
2.2032 -1.5516 7.0069 O
8.3434 -1.5516 0.5608 O
7.2536 -1.4691 4.4586 O
11.2317 0.0000 5.3678 O
```

crystal system: monoclinic
SG: C2/m (12)
formation energy from raw total energies: -3.29 eV per atom
N(E_F): 2.37 states/eV/f.u.
size of the total moment: 0.06 μB per atom



Crystalline Pa3S5Br3 at its relaxed geometry. Source: the Alexandria database, functional GGA-PBE.

POSCAR file:
```
Pa3S5Br3
1.0
8.3104 0.0000 0.0000
-4.1552 7.1970 0.0000
0.0000 0.0000 5.7580
Pa S Br
3 5 3
Cartesian
-2.6411 4.5746 0.0000 Pa
1.5141 2.6224 0.0000 Pa
5.2823 0.0000 0.0000 Pa
-1.0422 1.8051 0.0000 S
2.0843 0.0000 0.0000 S
0.0000 4.7980 0.0000 S
4.1552 2.3990 0.0000 S
3.1130 5.3920 0.0000 S
-2.5738 4.4580 2.8790 Br
1.5814 2.7390 2.8790 Br
5.1477 0.0000 2.8790 Br
```

crystal system: hexagonal
SG: P-62m (189)
formation energy from raw total energies: -1.40 eV per atom
N(E_F): 15.98 states/eV/f.u.
size of the total moment: 0.19 μB per atom



Crystalline LaRu2Pb at its relaxed geometry. Source: the Alexandria database, functional GGA-PBE.

POSCAR file:
```
LaRu2Pb
1.0
3.2719 -4.3882 0.0000
3.2719 4.3882 0.0000
-1.3791 0.0000 2.8909
La Ru Pb
1 2 1
Cartesian
0.0000 0.0000 0.0000 La
0.9464 2.1941 1.4455 Ru
0.9464 -2.1941 1.4455 Ru
3.2719 0.0000 0.0000 Pb
```

crystal system: monoclinic
SG: C2/m (12)
N(E_F): 3.39 states/eV/f.u.
energy of formation from the pure elements: 0.30 eV per atom
size of the total moment: 0.00 μB per atom



Crystalline Pr3ZnGa at its relaxed geometry. Source: the Alexandria database, functional GGA-PBE.

POSCAR file:
```
Pr3ZnGa
1.0
2.6514 -9.9618 0.0000
2.6514 9.9618 0.0000
0.0000 0.0000 5.3023
Pr Zn Ga
6 2 2
Cartesian
2.6514 8.6368 3.9767 Pr
2.6514 5.0155 3.9767 Pr
2.6514 1.4058 3.9767 Pr
2.6514 -1.4058 1.3256 Pr
2.6514 -5.0155 1.3256 Pr
2.6514 -8.6368 1.3256 Pr
2.6514 3.1279 1.3256 Zn
2.6514 -3.1279 3.9767 Zn
2.6514 6.8069 1.3256 Ga
2.6514 -6.8069 3.9767 Ga
```

crystal system: orthorhombic
SG: Cmcm (63)
N(E_F): 5.41 states/eV/f.u.
energy of formation from the pure elements: -0.33 eV per atom
offset from the most stable computed form: 0 meV per atom
size of the total moment: 0.00 μB per atom



Crystalline V3CrNi at its relaxed geometry. Source: the Alexandria database, functional GGA-PBE.

POSCAR file:
```
V3CrNi
1.0
4.3511 0.0000 0.0000
0.0000 4.3511 0.0000
0.0000 0.0000 4.3511
V Cr Ni
3 1 1
Cartesian
0.0000 0.0000 2.1756 V
0.0000 2.1756 0.0000 V
2.1756 0.0000 0.0000 V
2.1756 2.1756 2.1756 Cr
0.0000 0.0000 0.0000 Ni
```

crystal system: cubic
SG: Pm-3m (221)
N(E_F): 8.43 states/eV/f.u.
energy of formation from the pure elements: 1.05 eV per atom
offset from the most stable computed form: 30 meV per atom
size of the total moment: 0.29 μB per atom